(a)
Entry from the Alexandria database: VMoRh5 after structural relaxation (PBE).

Properties
Calculated volume = 105.3 Å³/cell
Space group = No. 123

Cell and atoms, written as CIF:
```
data_VMoRh5
_chemical_formula_sum 'V1 Mo1 Rh5'
_symmetry_space_group_name_H-M 'P 1'
_symmetry_Int_Tables_number 1
_symmetry_space_group_name_Hall 'P 1'
_cell_length_a 3.953
_cell_length_b 3.953
_cell_length_c 6.736
_cell_angle_alpha 90.00
_cell_angle_beta 90.00
_cell_angle_gamma 90.00
loop_
_atom_site_label
_atom_site_type_symbol
_atom_site_fract_x
_atom_site_fract_y
_atom_site_fract_z
Rh1 Rh 0.500 0.500 0.500
Mo1 Mo 0.000 0.000 0.500
Rh2 Rh 0.000 0.500 0.220
V1 V 0.500 0.500 0.000
Rh3 Rh 0.000 0.500 0.780
Rh4 Rh 0.500 0.000 0.780
Rh5 Rh 0.500 0.000 0.220
```


(b)
Entry from the Alexandria database: VMoRh5 after structural relaxation (PBE).

Properties
Calculated volume = 216.8 Å³/cell
Space group = No. 15

Cell and atoms, written as CIF:
```
data_VMoRh5
_chemical_formula_sum 'V2 Mo2 Rh10'
_symmetry_space_group_name_H-M 'P 1'
_symmetry_Int_Tables_number 1
_symmetry_space_group_name_Hall 'P 1'
_cell_length_a 5.325
_cell_length_b 5.325
_cell_length_c 10.874
_cell_angle_alpha 58.50
_cell_angle_beta 58.50
_cell_angle_gamma 62.77
loop_
_atom_site_label
_atom_site_type_symbol
_atom_site_fract_x
_atom_site_fract_y
_atom_site_fract_z
Mo1 Mo 0.375 0.625 0.750
Rh1 Rh 0.561 0.915 0.266
Mo2 Mo 0.625 0.375 0.250
Rh2 Rh 0.451 0.277 0.991
Rh3 Rh 0.723 0.549 0.509
V1 V 0.000 0.000 0.500
Rh4 Rh 0.439 0.085 0.734
Rh5 Rh 0.277 0.451 0.491
Rh6 Rh 0.915 0.561 0.766
V2 V 0.000 0.000 0.000
Rh7 Rh 0.078 0.922 0.250
Rh8 Rh 0.085 0.439 0.234
Rh9 Rh 0.922 0.078 0.750
Rh10 Rh 0.549 0.723 0.009
```


Stability, lowest: (b)


(a)
Entry from the Alexandria database: V2MoRh5 after structural relaxation (PBE).

Properties
Calculated volume = 225.6 Å³/cell
Space group = No. 55

Cell and atoms, written as CIF:
```
data_V2MoRh5
_chemical_formula_sum 'V4 Mo2 Rh10'
_symmetry_space_group_name_H-M 'P 1'
_symmetry_Int_Tables_number 1
_symmetry_space_group_name_Hall 'P 1'
_cell_length_a 3.835
_cell_length_b 5.419
_cell_length_c 10.853
_cell_angle_alpha 90.00
_cell_angle_beta 90.00
_cell_angle_gamma 90.00
loop_
_atom_site_label
_atom_site_type_symbol
_atom_site_fract_x
_atom_site_fract_y
_atom_site_fract_z
Mo1 Mo 0.000 0.000 0.500
V1 V 0.500 0.261 0.372
Mo2 Mo 0.000 0.500 0.000
Rh1 Rh 0.000 0.009 0.251
V2 V 0.500 0.239 0.872
V3 V 0.500 0.739 0.628
Rh2 Rh 0.000 0.000 0.000
Rh3 Rh 0.000 0.491 0.751
Rh4 Rh 0.500 0.244 0.623
V4 V 0.500 0.761 0.128
Rh5 Rh 0.000 0.500 0.500
Rh6 Rh 0.500 0.756 0.377
Rh7 Rh 0.500 0.744 0.877
Rh8 Rh 0.000 0.509 0.249
Rh9 Rh 0.000 0.991 0.749
Rh10 Rh 0.500 0.256 0.123
```


(b)
Entry from the Alexandria database: V2MoRh5 after structural relaxation (PBE).

Properties
Calculated volume = 244.7 Å³/cell
Space group = No. 63

Cell and atoms, written as CIF:
```
data_V2MoRh5
_chemical_formula_sum 'V4 Mo2 Rh10'
_symmetry_space_group_name_H-M 'P 1'
_symmetry_Int_Tables_number 1
_symmetry_space_group_name_Hall 'P 1'
_cell_length_a 2.708
_cell_length_b 6.650
_cell_length_c 13.879
_cell_angle_alpha 90.00
_cell_angle_beta 90.00
_cell_angle_gamma 101.75
loop_
_atom_site_label
_atom_site_type_symbol
_atom_site_fract_x
_atom_site_fract_y
_atom_site_fract_z
Mo1 Mo 0.121 0.243 0.250
Rh1 Rh 0.277 0.554 0.414
Rh2 Rh 0.213 0.426 0.750
Rh3 Rh 0.787 0.574 0.250
V1 V 0.898 0.797 0.964
Rh4 Rh 0.962 0.924 0.359
Rh5 Rh 0.038 0.076 0.641
Rh6 Rh 0.962 0.924 0.141
V2 V 0.102 0.203 0.036
V3 V 0.898 0.797 0.536
Mo2 Mo 0.879 0.757 0.750
V4 V 0.102 0.203 0.464
Rh7 Rh 0.723 0.446 0.914
Rh8 Rh 0.723 0.446 0.586
Rh9 Rh 0.038 0.076 0.859
Rh10 Rh 0.277 0.554 0.086
```


Stability, lowest: (b)


(a)
Entry from the Alexandria database: MoRh2W2 after structural relaxation (PBE).

Properties
Calculated volume = 158.2 Å³/cell
Space group = No. 127

Cell and atoms, written as CIF:
```
data_MoRh2W2
_chemical_formula_sum 'Mo2 Rh4 W4'
_symmetry_space_group_name_H-M 'P 1'
_symmetry_Int_Tables_number 1
_symmetry_space_group_name_Hall 'P 1'
_cell_length_a 7.579
_cell_length_b 7.579
_cell_length_c 2.754
_cell_angle_alpha 90.00
_cell_angle_beta 90.00
_cell_angle_gamma 90.00
loop_
_atom_site_label
_atom_site_type_symbol
_atom_site_fract_x
_atom_site_fract_y
_atom_site_fract_z
W1 W 0.828 0.328 0.500
Rh1 Rh 0.875 0.625 0.000
W2 W 0.172 0.672 0.500
Rh2 Rh 0.375 0.875 0.000
W3 W 0.672 0.828 0.500
W4 W 0.328 0.172 0.500
Rh3 Rh 0.125 0.375 0.000
Mo1 Mo 0.000 0.000 0.000
Rh4 Rh 0.625 0.125 0.000
Mo2 Mo 0.500 0.500 0.000
```


(b)
Entry from the Alexandria database: MoRh2W2 after structural relaxation (PBE).

Properties
Calculated volume = 84.6 Å³/cell
Space group = No. 139

Cell and atoms, written as CIF:
```
data_MoRh2W2
_chemical_formula_sum 'Mo1 Rh2 W2'
_symmetry_space_group_name_H-M 'P 1'
_symmetry_Int_Tables_number 1
_symmetry_space_group_name_Hall 'P 1'
_cell_length_a 3.783
_cell_length_b 3.783
_cell_length_c 6.491
_cell_angle_alpha 73.06
_cell_angle_beta 73.06
_cell_angle_gamma 90.00
loop_
_atom_site_label
_atom_site_type_symbol
_atom_site_fract_x
_atom_site_fract_y
_atom_site_fract_z
Rh1 Rh 0.601 0.601 0.798
W1 W 0.750 0.250 0.500
Rh2 Rh 0.399 0.399 0.202
Mo1 Mo 0.000 0.000 0.000
W2 W 0.250 0.750 0.500
```


Stability, lowest: (b)